# Ta2VRu

An optimized crystal structure of Ta2VRu (PBE, Alexandria via LeMat-Bulk).

## Properties
For the formation energy from the elements, the calculation gives -0.3108 eV per atom. Its symmetry is No. 123.

abc: 3.1478 3.1478 6.3996
angles: 90.00 90.00 90.00
Element x y z (fractional)
Ta 0.0000 0.0000 0.2453
Ta 0.0000 0.0000 0.7547
V 0.5000 0.5000 0.0000
Ru 0.5000 0.5000 0.5000